# 1
TaNiH | PBE | optimized geometry Values from VASP.

Computed properties:
energy relative to the lowest polymorph listed for this composition	0.061	eV/atom
SG	Cmmm (65)

Geometry as Quantum ESPRESSO input:
```
&SYSTEM
  ibrav = 0, nat = 12, ntyp = 3
/
ATOMIC_SPECIES
Ta 180.95 Ta.upf
H 1.01 H.upf
Ni 58.69 Ni.upf
CELL_PARAMETERS angstrom
-2.5153 -3.4205 -5.6418
5.7125 -0.3526 -2.3331
0.3877 -2.4656 1.3220
ATOMIC_POSITIONS crystal
Ta 0.2237 0.5000 0.0000
Ta 0.7237 0.0000 0.0000
Ta 0.2763 0.0000 0.0000
Ta 0.7763 0.5000 0.0000
H 0.7500 0.2500 0.5000
H 0.7500 0.7500 0.5000
H 0.2500 0.2500 0.5000
H 0.2500 0.7500 0.5000
Ni 0.0000 0.2054 0.5000
Ni 0.5000 0.7054 0.5000
Ni 0.0000 0.7946 0.5000
Ni 0.5000 0.2946 0.5000
```



# 2
TaNiH3 | PBE | optimized geometry Values from VASP.

Computed properties:
SG	Pm-3m (221)

Geometry as Quantum ESPRESSO input:
```
&SYSTEM
  ibrav = 0, nat = 5, ntyp = 3
/
ATOMIC_SPECIES
H 1.01 H.upf
Ni 58.69 Ni.upf
Ta 180.95 Ta.upf
CELL_PARAMETERS angstrom
-3.1464 1.2006 1.0215
-1.3083 -3.2610 -0.1971
0.8793 -0.5560 3.3619
ATOMIC_POSITIONS crystal
H 0.0000 0.5000 0.0000
H 0.0000 0.0000 0.5000
H 0.5000 0.0000 0.0000
Ni 0.5000 0.5000 0.5000
Ta 0.0000 0.0000 0.0000
```



# 3
TaNi3H | PBE | optimized geometry Values from VASP.

Computed properties:
energy relative to the lowest polymorph listed for this composition	0.102	eV/atom
SG	Pm-3m (221)

Geometry as Quantum ESPRESSO input:
```
&SYSTEM
  ibrav = 0, nat = 5, ntyp = 3
/
ATOMIC_SPECIES
Ni 58.69 Ni.upf
Ta 180.95 Ta.upf
H 1.01 H.upf
CELL_PARAMETERS angstrom
-3.6044 0.9813 0.2447
-0.4820 -2.4631 2.7777
0.8891 2.6429 2.4978
ATOMIC_POSITIONS crystal
Ni 0.0000 0.5000 0.0000
Ni 0.0000 0.0000 0.5000
Ni 0.5000 0.0000 0.0000
Ta 0.5000 0.5000 0.5000
H 0.0000 0.0000 0.0000
```



# 4
TaNiH | PBE | optimized geometry Values from VASP.

Computed properties:
energy relative to the lowest polymorph listed for this composition	0.069	eV/atom
SG	C2/m (12)

Geometry as Quantum ESPRESSO input:
```
&SYSTEM
  ibrav = 0, nat = 6, ntyp = 3
/
ATOMIC_SPECIES
Ta 180.95 Ta.upf
Ni 58.69 Ni.upf
H 1.01 H.upf
CELL_PARAMETERS angstrom
-1.7905 -0.1517 -2.1349
-2.2994 -3.5353 4.0030
-0.5144 4.7186 0.0980
ATOMIC_POSITIONS crystal
Ta 0.8937 0.2876 0.6136
Ta 0.1063 0.7124 0.3864
Ni 0.6381 0.7767 0.9347
Ni 0.3619 0.2233 0.0653
H 0.2569 0.0151 0.2563
H 0.7431 0.9849 0.7437
```



# 5
Ta3Ni2H4 | PBE | optimized geometry Values from VASP.

Computed properties:
SG	C2/m (12)

Geometry as Quantum ESPRESSO input:
```
&SYSTEM
  ibrav = 0, nat = 9, ntyp = 3
/
ATOMIC_SPECIES
H 1.01 H.upf
Ta 180.95 Ta.upf
Ni 58.69 Ni.upf
CELL_PARAMETERS angstrom
2.8598 0.0000 0.0000
-1.4299 4.5655 0.1053
0.0000 -1.7929 6.5182
ATOMIC_POSITIONS crystal
H 0.6600 0.3200 0.1045
H 0.3400 0.6800 0.8955
H 0.9098 0.8195 0.3649
H 0.0902 0.1805 0.6351
Ta 0.3866 0.7733 0.6076
Ta 0.0000 0.0000 0.0000
Ta 0.6134 0.2267 0.3924
Ni 0.6946 0.3892 0.8186
Ni 0.3054 0.6108 0.1814
```



# 6
TaNiH | PBE | optimized geometry Values from VASP.

Computed properties:
energy relative to the lowest polymorph listed for this composition	0.042	eV/atom
SG	P2/m (10)

Geometry as Quantum ESPRESSO input:
```
&SYSTEM
  ibrav = 0, nat = 6, ntyp = 3
/
ATOMIC_SPECIES
Ni 58.69 Ni.upf
H 1.01 H.upf
Ta 180.95 Ta.upf
CELL_PARAMETERS angstrom
-2.8672 -1.5987 -3.3767
2.2109 -0.6177 -1.5848
0.6768 -3.9821 2.4962
ATOMIC_POSITIONS crystal
Ni 0.2050 0.5000 0.2081
Ni 0.7950 0.5000 0.7919
H 0.5000 0.5000 0.5000
H 0.5000 0.5000 0.0000
Ta 0.7420 0.0000 0.2772
Ta 0.2580 0.0000 0.7228
```



# 7
Ta2TcNiH | PBE | optimized geometry Values from VASP.

Computed properties:
energy relative to the lowest polymorph listed for this composition	0.000	eV/atom
SG	P4/mmm (123)

Geometry as Quantum ESPRESSO input:
```
&SYSTEM
  ibrav = 0, nat = 5, ntyp = 4
/
ATOMIC_SPECIES
H 1.01 H.upf
Ta 180.95 Ta.upf
Ni 58.69 Ni.upf
Tc 98.00 Tc.upf
CELL_PARAMETERS angstrom
-3.9570 -0.0480 1.7357
1.5377 -2.1031 3.4475
0.6367 2.9802 1.5340
ATOMIC_POSITIONS crystal
H 0.0000 0.0000 0.0000
Ta 0.5000 0.0000 0.0000
Ta 0.0000 0.5000 0.0000
Ni 0.0000 0.0000 0.5000
Tc 0.5000 0.5000 0.5000
```



# 8
Ta2TcNiH | PBE | optimized geometry Values from VASP.

Computed properties:
energy relative to the lowest polymorph listed for this composition	0.099	eV/atom
SG	P4/mmm (123)

Geometry as Quantum ESPRESSO input:
```
&SYSTEM
  ibrav = 0, nat = 5, ntyp = 4
/
ATOMIC_SPECIES
H 1.01 H.upf
Ta 180.95 Ta.upf
Tc 98.00 Tc.upf
Ni 58.69 Ni.upf
CELL_PARAMETERS angstrom
4.1581 0.0000 0.0000
0.0000 4.1581 0.0000
0.0000 0.0000 3.7236
ATOMIC_POSITIONS crystal
H 0.0000 0.0000 0.0000
Ta 0.5000 0.0000 0.0000
Ta 0.0000 0.5000 0.0000
Tc 0.0000 0.0000 0.5000
Ni 0.5000 0.5000 0.5000
```



# 9
TaTi2NiH | PBE | optimized geometry Values from VASP.

Computed properties:
energy relative to the lowest polymorph listed for this composition	0.000	eV/atom
SG	P4/mmm (123)

Geometry as Quantum ESPRESSO input:
```
&SYSTEM
  ibrav = 0, nat = 5, ntyp = 4
/
ATOMIC_SPECIES
Ti 47.87 Ti.upf
Ta 180.95 Ta.upf
Ni 58.69 Ni.upf
H 1.01 H.upf
CELL_PARAMETERS angstrom
-1.3739 -3.0613 -2.7082
-2.3638 -1.7357 3.1612
-2.6484 1.9792 -0.8937
ATOMIC_POSITIONS crystal
Ti 0.5000 0.0000 0.0000
Ti 0.0000 0.5000 0.0000
Ta 0.5000 0.5000 0.5000
Ni 0.0000 0.0000 0.5000
H 0.0000 0.0000 0.0000
```



# 10
TaTi2NiH | PBE | optimized geometry Values from VASP.

Computed properties:
energy relative to the lowest polymorph listed for this composition	0.030	eV/atom
SG	P4/mmm (123)

Geometry as Quantum ESPRESSO input:
```
&SYSTEM
  ibrav = 0, nat = 5, ntyp = 4
/
ATOMIC_SPECIES
H 1.01 H.upf
Ti 47.87 Ti.upf
Ta 180.95 Ta.upf
Ni 58.69 Ni.upf
CELL_PARAMETERS angstrom
-3.6893 1.4052 -0.2456
-0.7559 -2.5032 -2.9679
-1.2624 -2.8398 2.7166
ATOMIC_POSITIONS crystal
H 0.0000 0.0000 0.0000
Ti 0.5000 0.0000 0.0000
Ti 0.0000 0.5000 0.0000
Ta 0.0000 0.0000 0.5000
Ni 0.5000 0.5000 0.5000
```



# 11
TaVNi2H | PBE | optimized geometry Values from VASP.

Computed properties:
energy relative to the lowest polymorph listed for this composition	0.000	eV/atom
SG	P4/mmm (123)

Geometry as Quantum ESPRESSO input:
```
&SYSTEM
  ibrav = 0, nat = 5, ntyp = 4
/
ATOMIC_SPECIES
Ta 180.95 Ta.upf
Ni 58.69 Ni.upf
H 1.01 H.upf
V 50.94 V.upf
CELL_PARAMETERS angstrom
-1.8392 3.2154 -0.0890
-0.1788 0.0002 3.7010
3.4303 1.9667 0.1656
ATOMIC_POSITIONS crystal
Ta 0.5000 0.5000 0.5000
Ni 0.5000 0.0000 0.0000
Ni 0.0000 0.5000 0.0000
H 0.0000 0.0000 0.0000
V 0.0000 0.0000 0.5000
```



# 12
TaVNi2H | PBE | optimized geometry Values from VASP.

Computed properties:
energy relative to the lowest polymorph listed for this composition	0.045	eV/atom
SG	P4/mmm (123)

Geometry as Quantum ESPRESSO input:
```
&SYSTEM
  ibrav = 0, nat = 5, ntyp = 4
/
ATOMIC_SPECIES
Ta 180.95 Ta.upf
H 1.01 H.upf
Ni 58.69 Ni.upf
V 50.94 V.upf
CELL_PARAMETERS angstrom
3.6835 0.0000 0.0000
0.0000 4.0513 0.0000
0.0000 0.0000 3.6835
ATOMIC_POSITIONS crystal
Ta 0.0000 0.5000 0.0000
H 0.0000 0.0000 0.0000
Ni 0.5000 0.0000 0.0000
Ni 0.0000 0.0000 0.5000
V 0.5000 0.5000 0.5000
```



| no. | E_tot (eV per atom) |
| --- | --- |
| 1 | -7.14 |
| 2 | -5.15 |
| 3 | -6.54 |
| 4 | -7.14 |
| 5 | -6.68 |
| 6 | -7.16 |
| 7 | -8.84 |
| 8 | -8.74 |
| 9 | -7.52 |
| 10 | -7.49 |
| 11 | -7.30 |
| 12 | -7.25 |